Record 1
Ca2BrCl | GGA-PBE | optimized geometry

Cell: 4.125 4.541 6.759 Å, 90.00 96.07 90.00°
Space group P2/m (No. 10)
Symmetry-distinct sites (fractional):
Ca (0.238, 0.000, 0.240) (multiplicity 2)
Br (0.500, 0.500, 0.500) (multiplicity 1)
Cl (0.000, 0.500, 0.000) (multiplicity 1)

Computed properties:
* total magnetization: 0.3252 μB/atom
* energy: -3.2047 eV/atom
* formation energy from raw total energies: -1324 meV per atom
* energy above the most stable polymorph in this dataset: 196 meV per atom
* DOS at the Fermi energy: 0.401 states/eV per atom

Record 2
CaBr2Cl | GGA-PBE | optimized geometry

Cell: 3.479 3.479 10.923 Å, 90.00 90.00 90.00°
Space group P4mm (No. 99)
Symmetry-distinct sites (fractional):
Ca (0.000, 0.000, 0.000) (multiplicity 1)
Br (0.000, 0.000, 0.475) (multiplicity 1)
Br (0.500, 0.500, 0.836) (multiplicity 1)
Cl (0.500, 0.500, 0.137) (multiplicity 1)

Computed properties:
* total magnetization: 0.0885 μB/atom
* energy: -3.0844 eV/atom
* formation energy from raw total energies: -1286 meV per atom
* energy above the most stable polymorph in this dataset: 344 meV per atom
* DOS at the Fermi energy: 0.574 states/eV per atom

Record 3
CaBr2Cl | GGA-PBE | optimized geometry

Cell: 4.985 4.985 8.423 Å, 90.00 90.00 90.00°
Space group I-4m2 (No. 119)
Symmetry-distinct sites (fractional):
Ca (0.000, 0.000, 0.000) (multiplicity 2)
Br (0.000, 0.000, 0.500) (multiplicity 2)
Br (0.000, 0.500, 0.250) (multiplicity 2)
Cl (0.000, 0.500, 0.750) (multiplicity 2)

Computed properties:
* total magnetization: 0.2421 μB/atom
* energy: -2.9226 eV/atom
* formation energy from raw total energies: -1124 meV per atom
* energy above the most stable polymorph in this dataset: 506 meV per atom
* DOS at the Fermi energy: 0.930 states/eV per atom

Record 4
Ca2BrCl | GGA-PBE | optimized geometry

Cell: 3.715 3.715 9.242 Å, 90.00 90.00 90.00°
Space group P4mm (No. 99)
Symmetry-distinct sites (fractional):
Ca (0.000, 0.000, 0.000) (multiplicity 1)
Ca (0.500, 0.500, 0.339) (multiplicity 1)
Br (0.000, 0.000, 0.504) (multiplicity 1)
Cl (0.500, 0.500, 0.865) (multiplicity 1)

Computed properties:
* total magnetization: 0.0000 μB/atom
* energy: -3.4008 eV/atom
* formation energy from raw total energies: -1520 meV per atom
* energy above the most stable polymorph in this dataset: 0 meV per atom
* DOS at the Fermi energy: 0.274 states/eV per atom

Record 5
CaBr2Cl | GGA-PBE | optimized geometry

Cell: 13.159 3.847 4.939 Å, 90.00 100.55 90.00°
Space group C2/m (No. 12)
Symmetry-distinct sites (fractional):
Ca (0.000, 0.000, 0.000) (multiplicity 2)
Br (0.168, 0.500, 0.163) (multiplicity 4)
Cl (0.000, 0.500, 0.500) (multiplicity 2)

Computed properties:
* total magnetization: 0.0002 μB/atom
* energy: -3.1438 eV/atom
* formation energy from raw total energies: -1345 meV per atom
* energy above the most stable polymorph in this dataset: 284 meV per atom
* DOS at the Fermi energy: 0.699 states/eV per atom

Record 6
Ca2BrCl | GGA-PBE | optimized geometry

Cell: 3.8557 3.8557 25.4393 Å, 90.00 90.00 120.00°
Space group R-3m (No. 166, hexagonal axes)
Symmetry-distinct sites (fractional):
Ca (0.0000, 0.0000, 0.2462) (multiplicity 6)
Br (0.0000, 0.0000, 0.0000) (multiplicity 3)
Cl (0.0000, 0.0000, 0.5000) (multiplicity 3)

Computed properties:
* total magnetization: 0.0000 μB/atom
* energy: -3.2048 eV/atom
* formation energy from raw total energies: -1324 meV per atom
* energy above the most stable polymorph in this dataset: 196 meV per atom
* DOS at the Fermi energy: 0.559 states/eV per atom

Record 7
Ca2BrCl | GGA-PBE | optimized geometry

Cell: 7.461 7.461 7.461 Å, 90.00 90.00 90.00°
Space group Fm-3m (No. 225)
Symmetry-distinct sites (fractional):
Ca (0.250, 0.250, 0.250) (multiplicity 8)
Br (0.000, 0.000, 0.000) (multiplicity 4)
Cl (0.000, 0.000, 0.500) (multiplicity 4)

Computed properties:
* total magnetization: 0.3862 μB/atom
* energy: -2.9641 eV/atom
* formation energy from raw total energies: -1083 meV per atom
* energy above the most stable polymorph in this dataset: 437 meV per atom
* DOS at the Fermi energy: 0.983 states/eV per atom

Record 8
Ca2BrCl | GGA-PBE | optimized geometry

Cell: 19.864 3.702 3.705 Å, 90.00 90.74 90.00°
Space group Cm (No. 8)
Symmetry-distinct sites (fractional):
Ca (0.000, 0.000, 0.000) (multiplicity 2)
Ca (0.158, 0.500, 0.511) (multiplicity 2)
Br (0.235, 0.000, 0.016) (multiplicity 2)
Cl (0.436, 0.000, 0.495) (multiplicity 2)

Computed properties:
* total magnetization: 0.0000 μB/atom
* energy: -3.4003 eV/atom
* formation energy from raw total energies: -1520 meV per atom
* energy above the most stable polymorph in this dataset: 0 meV per atom
* DOS at the Fermi energy: 0.375 states/eV per atom

Record 9
CaBr2Cl | GGA-PBE | optimized geometry

Cell: 9.863 4.036 6.405 Å, 90.00 104.20 90.00°
Space group Cm (No. 8)
Symmetry-distinct sites (fractional):
Ca (0.000, 0.000, 0.000) (multiplicity 2)
Br (0.027, 0.500, 0.354) (multiplicity 2)
Br (0.360, 0.000, 0.675) (multiplicity 2)
Cl (0.207, 0.500, 0.013) (multiplicity 2)

Computed properties:
* total magnetization: 0.2222 μB/atom
* energy: -3.2332 eV/atom
* formation energy from raw total energies: -1435 meV per atom
* energy above the most stable polymorph in this dataset: 195 meV per atom
* DOS at the Fermi energy: 0.420 states/eV per atom

Record 10
CaBr2Cl | GGA-PBE | optimized geometry

Cell: 4.2908 4.2908 26.5781 Å, 90.00 90.00 120.00°
Space group R-3m (No. 166, hexagonal axes)
Symmetry-distinct sites (fractional):
Ca (0.0000, 0.0000, 0.0000) (multiplicity 3)
Br (0.0000, 0.0000, 0.2753) (multiplicity 6)
Cl (0.0000, 0.0000, 0.5000) (multiplicity 3)

Computed properties:
* total magnetization: 0.2525 μB/atom
* energy: -2.9967 eV/atom
* formation energy from raw total energies: -1198 meV per atom
* energy above the most stable polymorph in this dataset: 431 meV per atom
* DOS at the Fermi energy: 1.923 states/eV per atom

Record 11
Ca2BrCl | GGA-PBE | optimized geometry

Cell: 5.082 5.082 8.577 Å, 90.00 90.00 90.00°
Space group I4/mmm (No. 139)
Symmetry-distinct sites (fractional):
Ca (0.000, 0.500, 0.250) (multiplicity 4)
Br (0.000, 0.000, 0.000) (multiplicity 2)
Cl (0.000, 0.000, 0.500) (multiplicity 2)

Computed properties:
* total magnetization: 0.0002 μB/atom
* energy: -2.9652 eV/atom
* formation energy from raw total energies: -1085 meV per atom
* energy above the most stable polymorph in this dataset: 436 meV per atom
* DOS at the Fermi energy: 0.795 states/eV per atom

Record 12
CaBr2Cl | GGA-PBE | optimized geometry

Cell: 9.305 9.305 5.505 Å, 90.00 90.00 90.00°
Space group I-42d (No. 122)
Symmetry-distinct sites (fractional):
Ca (0.000, 0.000, 0.000) (multiplicity 4)
Br (0.212, 0.250, 0.125) (multiplicity 8)
Cl (0.000, 0.000, 0.500) (multiplicity 4)

Computed properties:
* total magnetization: 0.0000 μB/atom
* energy: -3.1853 eV/atom
* formation energy from raw total energies: -1387 meV per atom
* energy above the most stable polymorph in this dataset: 243 meV per atom
* DOS at the Fermi energy: 0.266 states/eV per atom

Look up the energy above the most stable polymorph in this dataset of the ninth one. 195 meV per atom

What is the formula in the twelfth record? CaBr2Cl